Here is a relaxed Na2SnGeAs crystal from Alexandria. Energies are from PBE.

Cell lengths 5.373, 5.396, 5.373 Å; angles 90.00, 90.00, 90.00 degrees
Site moments in Bohr magnetons follow the coordinates.
Positions (direct):
Sn (0.000, 0.500, 0.000)  -0.01
Na (0.000, 0.000, 0.500)  0.01
Na (0.500, 0.000, 0.000)  0.01
As (0.000, 0.000, 0.000)  0.12
Ge (0.500, 0.500, 0.500)  0.52

* energy: -14.5 eV per cell
* symmetry: P4/mmm
* formation energy from the elements: 0.29 eV/atom
* spin magnetization: 0.3485 μB/atom


Here is a relaxed NaTlGe2As crystal from Alexandria. Energies are from PBE.

Cell lengths 5.155, 5.304, 5.155 Å; angles 90.00, 90.00, 90.00 degrees
Positions (direct):
Ge (0.000, 0.000, 0.500)
Tl (0.500, 0.500, 0.500)
Na (0.000, 0.500, 0.000)
As (0.000, 0.000, 0.000)
Ge (0.500, 0.000, 0.000)

* energy: -16.0 eV per cell
* symmetry: P4/mmm
* formation energy from the elements: 0.32 eV/atom
* spin magnetization: 0.0000 μB/atom


Here is a relaxed Na2Zn3GeAs4 crystal from Alexandria. Energies are from PBE.

Cell lengths 8.599, 8.599, 7.103 Å; angles 65.27, 65.27, 28.04 degrees
Positions (direct):
Na (0.002, 0.002, 0.000)
As (0.626, 0.626, 0.704)
Ge (0.316, 0.316, 0.022)
Na (0.511, 0.511, 0.483)
Zn (0.673, 0.673, 0.982)
Zn (0.182, 0.182, 0.504)
As (0.367, 0.367, 0.305)
Zn (0.800, 0.800, 0.522)
As (0.149, 0.149, 0.189)
As (0.869, 0.869, 0.789)

* energy: -32.5 eV per cell
* symmetry: Cm
* formation energy from the elements: -0.29 eV/atom
* spin magnetization: 0.0000 μB/atom


Here is a relaxed Nb4Ge2As crystal from Alexandria. Energies are from PBE.

Cell lengths 4.663, 4.663, 7.547 Å; angles 72.00, 72.00, 90.00 degrees
Site moments in Bohr magnetons follow the coordinates.
Positions (direct):
Ge (0.627, 0.627, 0.747)  -0.02
As (0.000, 0.000, 0.000)  0.00
Nb (0.000, 0.500, 0.000)  0.03
Nb (0.817, 0.817, 0.367)  0.69
Ge (0.373, 0.373, 0.253)  -0.02
Nb (0.500, 0.000, 0.000)  0.03
Nb (0.183, 0.183, 0.633)  0.69

* energy: -50.3 eV per cell
* symmetry: I4/mmm
* formation energy from the elements: 0.56 eV/atom
* spin magnetization: 0.2500 μB/atom


Here is a relaxed NbGeAs crystal from Alexandria. Energies are from PBE.

Cell lengths 4.738, 5.026, 5.129 Å; angles 105.68, 108.35, 92.54 degrees
Positions (direct):
Nb (0.143, 0.137, 0.680)
As (0.177, 0.696, 0.837)
Ge (0.553, 0.852, 0.471)
Nb (0.768, 0.014, 0.081)
As (0.362, 0.298, 0.297)
Ge (0.731, 0.461, 0.921)

* energy: -39.5 eV per cell
* distance to the lowest polymorph of the same formula: 0.969 eV per formula unit
* symmetry: P1
* formation energy from the elements: -0.14 eV/atom
* spin magnetization: 0.0000 μB/atom


Here is a relaxed Nb2GeAs crystal from Alexandria. Energies are from PBE.

Cell lengths 3.181, 3.181, 9.105 Å; angles 79.94, 79.94, 60.00 degrees
Positions (direct):
Ge (0.000, 0.000, 0.000)
As (0.500, 0.500, 0.500)
Nb (0.096, 0.096, 0.712)
Nb (0.904, 0.904, 0.288)

* energy: -28.7 eV per cell
* distance to the lowest polymorph of the same formula: 1.743 eV per formula unit
* symmetry: R-3m
* formation energy from the elements: 0.17 eV/atom
* spin magnetization: 0.0000 μB/atom


Here is a relaxed NbGeAs crystal from Alexandria. Energies are from PBE.

Cell lengths 8.494, 4.853, 4.870 Å; angles 90.00, 90.00, 90.00 degrees
Positions (direct):
Nb (0.500, 0.000, 0.000)
Nb (0.500, 0.500, 0.500)
As (0.661, 0.500, 0.000)
Ge (0.339, 0.000, 0.500)
Nb (0.000, 0.500, 0.000)
Ge (0.661, 0.000, 0.500)
Ge (0.839, 0.500, 0.500)
As (0.161, 0.000, 0.000)
Ge (0.161, 0.500, 0.500)
As (0.339, 0.500, 0.000)
Nb (0.000, 0.000, 0.500)
As (0.839, 0.000, 0.000)

* energy: -81.8 eV per cell
* distance to the lowest polymorph of the same formula: 0.269 eV per formula unit
* symmetry: Cmmm
* formation energy from the elements: -0.37 eV/atom
* spin magnetization: 0.0000 μB/atom


Here is a relaxed NbGeAs crystal from Alexandria. Energies are from PBE.

Cell lengths 3.416, 3.416, 8.605 Å; angles 90.00, 90.00, 90.00 degrees
Positions (direct):
As (0.500, 0.500, 0.500)
Nb (0.500, 0.500, 0.156)
Ge (0.000, 0.000, 0.323)
Nb (0.000, 0.000, 0.656)
As (0.000, 0.000, 0.000)
Ge (0.500, 0.500, 0.823)

* energy: -40.9 eV per cell
* distance to the lowest polymorph of the same formula: 0.285 eV per formula unit
* symmetry: I4mm
* formation energy from the elements: -0.37 eV/atom
* spin magnetization: 0.0000 μB/atom


Here is a relaxed NbGeAs crystal from Alexandria. Energies are from PBE.

Cell lengths 9.377, 5.050, 8.526 Å; angles 90.00, 90.00, 90.00 degrees
Positions (direct):
Nb (0.000, 0.000, 0.289)
As (0.500, 0.500, 0.951)
Ge (0.500, 0.500, 0.624)
Nb (0.750, 0.750, 0.539)
As (0.500, 0.000, 0.451)
Nb (0.000, 0.500, 0.789)
Nb (0.750, 0.250, 0.039)
Nb (0.250, 0.750, 0.039)
Nb (0.500, 0.000, 0.789)
As (0.750, 0.250, 0.701)
Ge (0.250, 0.750, 0.374)
Ge (0.750, 0.250, 0.374)
Ge (0.000, 0.500, 0.124)
Nb (0.500, 0.500, 0.289)
Ge (0.000, 0.000, 0.624)
As (0.250, 0.750, 0.701)
Ge (0.750, 0.750, 0.874)
As (0.000, 0.500, 0.451)
Nb (0.250, 0.250, 0.539)
Ge (0.500, 0.000, 0.124)
As (0.250, 0.250, 0.201)
As (0.000, 0.000, 0.951)
Ge (0.250, 0.250, 0.874)
As (0.750, 0.750, 0.201)

* energy: -160.9 eV per cell
* distance to the lowest polymorph of the same formula: 0.604 eV per formula unit
* symmetry: Fdd2
* formation energy from the elements: -0.26 eV/atom
* spin magnetization: 0.0000 μB/atom


Here is a relaxed Nb2Ge2As crystal from Alexandria. Energies are from PBE.

Cell lengths 7.021, 7.021, 3.620 Å; angles 90.00, 90.00, 90.00 degrees
Positions (direct):
Ge (0.136, 0.636, 0.500)
Nb (0.340, 0.840, 0.000)
Nb (0.840, 0.660, 0.000)
Ge (0.864, 0.364, 0.500)
Ge (0.636, 0.864, 0.500)
Nb (0.660, 0.160, 0.000)
As (0.000, 0.000, 0.000)
Ge (0.364, 0.136, 0.500)
Nb (0.160, 0.340, 0.000)
As (0.500, 0.500, 0.000)

* energy: -70.6 eV per cell
* symmetry: P4/mbm
* formation energy from the elements: -0.25 eV/atom
* spin magnetization: 0.0000 μB/atom


Here is a relaxed NbGeAs crystal from Alexandria. Energies are from PBE.

Cell lengths 7.373, 7.373, 6.840 Å; angles 90.00, 90.00, 120.00 degrees
Positions (direct):
Nb (0.667, 0.333, 0.000)
As (0.388, 0.387, 0.750)
Ge (0.000, 0.272, 0.000)
As (0.387, 0.388, 0.250)
Ge (0.000, 0.272, 0.500)
As (0.001, 0.613, 0.250)
As (0.613, 0.001, 0.750)
Ge (0.272, 0.000, 0.000)
Nb (0.667, 0.333, 0.500)
As (0.612, 0.999, 0.250)
As (0.999, 0.612, 0.750)
Ge (0.728, 0.728, 0.000)
Nb (0.333, 0.667, 0.500)
Ge (0.272, 0.000, 0.500)
Nb (0.000, 0.000, 0.750)
Nb (0.000, 0.000, 0.250)
Nb (0.333, 0.667, 0.000)
Ge (0.728, 0.728, 0.500)

* energy: -117.2 eV per cell
* distance to the lowest polymorph of the same formula: 1.189 eV per formula unit
* symmetry: P-62c
* formation energy from the elements: -0.06 eV/atom
* spin magnetization: 0.0000 μB/atom


Here is a relaxed NbGeAs crystal from Alexandria. Energies are from PBE.

Cell lengths 5.606, 6.214, 6.217 Å; angles 90.00, 90.00, 90.00 degrees
Positions (direct):
As (0.750, 0.350, 0.013)
Nb (0.000, 0.500, 0.368)
As (0.250, 0.650, 0.013)
Nb (0.000, 0.000, 0.868)
Ge (0.750, 0.637, 0.726)
Ge (0.250, 0.137, 0.226)
Ge (0.250, 0.363, 0.726)
As (0.250, 0.850, 0.513)
As (0.750, 0.150, 0.513)
Ge (0.750, 0.863, 0.226)
Nb (0.500, 0.000, 0.868)
Nb (0.500, 0.500, 0.368)

* energy: -81.4 eV per cell
* distance to the lowest polymorph of the same formula: 0.369 eV per formula unit
* symmetry: Ima2
* formation energy from the elements: -0.34 eV/atom
* spin magnetization: 0.0000 μB/atom


Here is a relaxed Nb2GeAs crystal from Alexandria. Energies are from PBE.

Cell lengths 5.858, 5.858, 7.136 Å; angles 65.77, 65.77, 90.00 degrees
Positions (direct):
As (0.750, 0.250, 0.500)
Nb (0.626, 0.125, 0.250)
Nb (0.875, 0.876, 0.750)
Ge (0.500, 0.500, 0.000)
Nb (0.375, 0.374, 0.750)
Nb (0.124, 0.625, 0.250)
As (0.000, 0.000, 0.000)
Ge (0.250, 0.750, 0.500)

* energy: -54.4 eV per cell
* distance to the lowest polymorph of the same formula: 3.278 eV per formula unit
* symmetry: I-42d
* formation energy from the elements: 0.55 eV/atom
* spin magnetization: 0.0000 μB/atom


Here is a relaxed NbGeAs crystal from Alexandria. Energies are from PBE.

Cell lengths 8.490, 5.021, 9.454 Å; angles 90.00, 90.00, 90.00 degrees
Positions (direct):
Nb (0.750, 0.750, 0.750)
Nb (0.250, 0.250, 0.750)
Ge (0.413, 0.750, 0.750)
Nb (0.250, 0.750, 0.250)
As (0.665, 0.500, 0.000)
Nb (0.500, 0.500, 0.500)
Ge (0.087, 0.750, 0.750)
Nb (0.000, 0.000, 0.500)
Nb (0.750, 0.250, 0.250)
As (0.665, 0.000, 0.500)
As (0.835, 0.000, 0.000)
As (0.165, 0.000, 0.000)
Ge (0.587, 0.250, 0.750)
Nb (0.500, 0.000, 0.000)
As (0.835, 0.500, 0.500)
As (0.165, 0.500, 0.500)
As (0.335, 0.500, 0.000)
Ge (0.413, 0.250, 0.250)
Ge (0.913, 0.750, 0.250)
Nb (0.000, 0.500, 0.000)
Ge (0.587, 0.750, 0.250)
Ge (0.087, 0.250, 0.250)
As (0.335, 0.000, 0.500)
Ge (0.913, 0.250, 0.750)

* energy: -161.0 eV per cell
* distance to the lowest polymorph of the same formula: 0.599 eV per formula unit
* symmetry: F222
* formation energy from the elements: -0.26 eV/atom
* spin magnetization: 0.0000 μB/atom


Here is a relaxed Nb2GeAs crystal from Alexandria. Energies are from PBE.

Cell lengths 4.567, 4.567, 4.567 Å; angles 60.00, 60.00, 60.00 degrees
Positions (direct):
Nb (0.250, 0.250, 0.250)
Nb (0.750, 0.750, 0.750)
Ge (0.000, 0.000, 0.000)
As (0.500, 0.500, 0.500)

* energy: -30.5 eV per cell
* distance to the lowest polymorph of the same formula: 0.000 eV per formula unit
* symmetry: Fm-3m
* formation energy from the elements: -0.27 eV/atom
* spin magnetization: 0.0000 μB/atom


Here is a relaxed NbGeAs crystal from Alexandria. Energies are from PBE.

Cell lengths 3.225, 3.225, 5.566 Å; angles 90.00, 90.00, 90.00 degrees
Positions (direct):
Nb (0.500, 0.500, 0.722)
Ge (0.000, 0.000, 0.418)
As (0.000, 0.000, 0.972)

* energy: -19.9 eV per cell
* distance to the lowest polymorph of the same formula: 0.779 eV per formula unit
* symmetry: P4mm
* formation energy from the elements: -0.20 eV/atom
* spin magnetization: 0.0000 μB/atom


Here is a relaxed NbGeAs crystal from Alexandria. Energies are from PBE.

Cell lengths 5.394, 8.579, 4.998 Å; angles 90.00, 119.37, 90.00 degrees
Positions (direct):
Ge (0.750, 0.040, 0.750)
Ge (0.250, 0.460, 0.750)
As (0.250, 0.287, 0.250)
Ge (0.750, 0.540, 0.250)
As (0.750, 0.713, 0.750)
Nb (0.250, 0.124, 0.750)
As (0.750, 0.213, 0.250)
Ge (0.250, 0.960, 0.250)
As (0.250, 0.787, 0.750)
Nb (0.750, 0.876, 0.250)
Nb (0.250, 0.624, 0.250)
Nb (0.750, 0.376, 0.750)

* energy: -80.4 eV per cell
* distance to the lowest polymorph of the same formula: 0.616 eV per formula unit
* symmetry: C2/c
* formation energy from the elements: -0.26 eV/atom
* spin magnetization: 0.0000 μB/atom


Here is a relaxed NbGeAs crystal from Alexandria. Energies are from PBE.

Cell lengths 3.606, 3.606, 8.001 Å; angles 90.00, 90.00, 90.00 degrees
Positions (direct):
Nb (0.000, 0.500, 0.739)
Ge (0.000, 0.000, 0.000)
As (0.000, 0.500, 0.391)
Ge (0.500, 0.500, 0.000)
As (0.500, 0.000, 0.609)
Nb (0.500, 0.000, 0.261)

* energy: -41.4 eV per cell
* distance to the lowest polymorph of the same formula: 0.000 eV per formula unit
* symmetry: P4/nmm
* formation energy from the elements: -0.46 eV/atom
* spin magnetization: 0.0000 μB/atom


Here is a relaxed NbGeAs crystal from Alexandria. Energies are from PBE.

Cell lengths 5.243, 8.365, 6.014 Å; angles 90.00, 127.26, 90.00 degrees
Positions (direct):
Ge (0.019, 0.936, 0.443)
Nb (0.122, 0.132, 0.126)
As (0.253, 0.838, 0.054)
Ge (0.519, 0.064, 0.943)
Nb (0.622, 0.368, 0.126)
As (0.753, 0.162, 0.554)
Ge (0.019, 0.436, 0.943)
Ge (0.519, 0.564, 0.443)
As (0.253, 0.338, 0.554)
Nb (0.122, 0.632, 0.626)
As (0.753, 0.662, 0.054)
Nb (0.622, 0.868, 0.626)

* energy: -80.9 eV per cell
* distance to the lowest polymorph of the same formula: 0.491 eV per formula unit
* symmetry: Cc
* formation energy from the elements: -0.30 eV/atom
* spin magnetization: 0.0000 μB/atom


Here is a relaxed NbGe2As crystal from Alexandria. Energies are from PBE.

Cell lengths 6.055, 6.055, 7.015 Å; angles 64.43, 64.43, 90.00 degrees
Positions (direct):
Ge (0.620, 0.125, 0.250)
Ge (0.375, 0.380, 0.750)
As (0.500, 0.500, 0.000)
Nb (0.750, 0.250, 0.500)
Ge (0.875, 0.870, 0.750)
Ge (0.130, 0.625, 0.250)
As (0.250, 0.750, 0.500)
Nb (0.000, 0.000, 0.000)

* energy: -43.7 eV per cell
* symmetry: I-42d
* formation energy from the elements: 0.52 eV/atom
* spin magnetization: 0.0000 μB/atom